[1]
9
Lattice="5.484 0.000 0.000 2.742 4.749 0.000 0.000 0.000 6.093" Properties=species:S:1:pos:R:3 comment="LiTlSnF6 (GGA-PBE, optimized geometry)" energy_ev_per_atom=-4.684 magnetic_moment_mub_per_cell=0.00 n_ef_per_ev_fu=0.0 pbc="T T T"
Tl 5.484 0.000 6.093
F 2.078 0.056 4.173
F 4.397 1.771 4.173
F 1.752 2.922 4.173
Li 5.484 3.166 3.046
F 3.732 2.922 1.920
F 1.087 1.771 1.920
F 3.406 0.056 1.920
Sn 2.742 1.583 3.046

[2]
9
Lattice="-0.216 -4.873 2.609 4.315 -1.726 3.000 -2.001 2.355 4.233" Properties=species:S:1:pos:R:3 comment="LiTmSnF6 (GGA-PBE, optimized geometry)" energy_ev_per_atom=-5.623 magnetic_moment_mub_per_cell=0.00 n_ef_per_ev_fu=0.0 pbc="T T T"
F -0.063 -2.042 5.779
Tm 1.732 -3.222 5.856
Sn 2.098 -4.244 9.842
Li 0.366 -1.022 3.986
F -0.674 -2.482 2.879
F -1.492 -0.028 3.983
F 0.956 0.024 2.255
F 1.330 0.558 4.990
F 2.136 -2.163 4.030